The following is a SCAN calculation of a crystal of RbSiAu3 relaxed with PBEsol, from Alexandria.

Computed properties:
Calculated total energy: -47.933 eV/atom
Space group: No. 221
D(E_F): 0.129 states/eV/atom
E_form (uncorrected): -0.29 eV per atom

Lattice parameters (Å, degrees): 4.886 4.886 4.886 90.00 90.00 90.00
Atoms (fractional coordinates):
1 Au 0.000 0.500 0.000
2 Rb 0.500 0.500 0.500
3 Si 0.000 0.000 0.000
4 Au 0.000 0.000 0.500
5 Au 0.500 0.000 0.000